First-principles (GGA+U) data for a relaxed Be2CrTcO8 crystal, as listed in Alexandria.

The symmetry is P-3m1. The calculation puts the calculated total energy at -6.66 eV/atom. The magnetic moment comes out at 5.0 μB per cell.

Unit cell a=5.264 b=5.264 c=5.300 alpha=90.00 beta=90.00 gamma=120.00
Fractional positions:
Be 0.667 0.333 0.182
Be 0.333 0.667 0.818
Cr 0.000 0.000 0.000
Tc 0.000 0.000 0.500
O 0.333 0.667 0.125
O 0.324 0.163 0.268
O 0.837 0.161 0.268
O 0.667 0.333 0.875
O 0.163 0.839 0.732
O 0.676 0.837 0.732
O 0.161 0.324 0.732
O 0.839 0.676 0.268